Record 1
ZrNb3B: optimized geometry, PBE-GGA.

## Properties
DOS at the Fermi energy (states/eV/f.u.): 4.64
Crystal system: cubic
Total moment (μB per atom): 0.000

```
data_ZrNb3B
_chemical_formula_sum 'Zr1 Nb3 B1'
_cell_length_a 4.472
_cell_length_b 4.472
_cell_length_c 4.472
_cell_angle_alpha 90.00
_cell_angle_beta 90.00
_cell_angle_gamma 90.00
_space_group_name_H-M_alt 'P m -3 m'
_space_group_IT_number 221
_space_group_name_Hall '-P 4 2 3'
loop_
_atom_site_label
_atom_site_fract_x
_atom_site_fract_y
_atom_site_fract_z
_atom_site_occupancy
Zr1 0.000 0.000 0.000 1
Nb1 0.000 0.500 0.500 1
B1 0.500 0.500 0.500 1
```

---

Record 2
BaFe3Rh: optimized geometry, PBE-GGA.

## Properties
DOS at the Fermi energy (states/eV/f.u.): 8.82
Crystal system: cubic
Total moment (μB per atom): 1.964

```
data_BaFe3Rh
_chemical_formula_sum 'Ba1 Fe3 Rh1'
_cell_length_a 4.818
_cell_length_b 4.818
_cell_length_c 4.818
_cell_angle_alpha 90.00
_cell_angle_beta 90.00
_cell_angle_gamma 90.00
_space_group_name_H-M_alt 'P m -3 m'
_space_group_IT_number 221
_space_group_name_Hall '-P 4 2 3'
loop_
_atom_site_label
_atom_site_fract_x
_atom_site_fract_y
_atom_site_fract_z
_atom_site_occupancy
Ba1 0.000 0.000 0.000 1
Fe1 0.000 0.500 0.500 1
Rh1 0.500 0.500 0.500 1
```

---

Record 3
Ac2LaSm6: optimized geometry, PBE-GGA.

## Properties
DOS at the Fermi energy (states/eV/f.u.): 16.87
Crystal system: trigonal
Total moment (μB per atom): 0.000

```
data_Ac2LaSm6
_chemical_formula_sum 'Ac2 La1 Sm6'
_cell_length_a 10.2117
_cell_length_b 10.2117
_cell_length_c 3.6752
_cell_angle_alpha 90.00
_cell_angle_beta 90.00
_cell_angle_gamma 120.00
_space_group_name_H-M_alt 'P -3'
_space_group_IT_number 147
loop_
_space_group_symop_operation_xyz
'x,y,z'
'-x,-y,-z'
'-y,x-y,z'
'y,-x+y,-z'
'-x+y,-x,z'
'x-y,x,-z'
loop_
_atom_site_label
_atom_site_fract_x
_atom_site_fract_y
_atom_site_fract_z
_atom_site_occupancy
Ac1 0.3333 0.6667 0.2307 1
La1 0.0000 0.0000 0.0000 1
Sm1 0.0195 0.3451 0.7263 1
```

---

Record 4
PrEr2Rh: optimized geometry, PBE-GGA.

## Properties
DOS at the Fermi energy (states/eV/f.u.): 4.56
Crystal system: trigonal
Total moment (μB per atom): 0.000

```
data_PrEr2Rh
_chemical_formula_sum 'Pr3 Er6 Rh3'
_cell_length_a 3.8913
_cell_length_b 3.8913
_cell_length_c 27.0931
_cell_angle_alpha 90.00
_cell_angle_beta 90.00
_cell_angle_gamma 120.00
_space_group_name_H-M_alt 'R 3 m'
_space_group_IT_number 160
_space_group_name_Hall 'R 3 -2"'
loop_
_atom_site_label
_atom_site_fract_x
_atom_site_fract_y
_atom_site_fract_z
_atom_site_occupancy
Pr1 0.0000 0.0000 0.0000 1
Er1 0.0000 0.0000 0.5547 1
Er2 0.0000 0.0000 0.7742 1
Rh1 0.0000 0.0000 0.1644 1
```

---

Number 1: energy relative to the elements 2 kJ/mol of formula units. Number 2: energy relative to the elements 342 kJ/mol of formula units. Number 3: energy relative to the elements 99 kJ/mol of formula units. Number 4: energy relative to the elements -148 kJ/mol of formula units.